A relaxed La3CeS6 crystal, computed with PBE.

- ΔE to the lowest computed polymorph (meV per atom) = 0.0
- raw formation energy (eV/f.u.) = -21.12

Lattice parameters (Å, degrees): 8.441 8.441 8.441 91.43 91.43 91.43
Atoms (fractional coordinates):
La 0.064 0.572 0.750
La 0.250 0.936 0.428
La 0.428 0.250 0.936
La 0.572 0.750 0.064
La 0.750 0.064 0.572
La 0.936 0.428 0.250
Ce 0.000 0.000 0.000
Ce 0.500 0.500 0.500
S 0.035 0.905 0.684
S 0.095 0.316 0.965
S 0.186 0.593 0.427
S 0.316 0.965 0.095
S 0.407 0.573 0.814
S 0.427 0.186 0.593
S 0.573 0.814 0.407
S 0.593 0.427 0.186
S 0.684 0.035 0.905
S 0.814 0.407 0.573
S 0.905 0.684 0.035
S 0.965 0.095 0.316

A relaxed Co2SiCl crystal, computed with PBE.

- ΔE to the lowest computed polymorph (meV per atom) = 0.0
- raw formation energy (eV/f.u.) = -0.51

Lattice parameters (Å, degrees): 2.753 2.944 6.452 90.00 90.00 90.00
Atoms (fractional coordinates):
Co 0.000 0.000 0.196
Co 0.000 0.000 0.804
Si 0.500 0.500 0.000
Cl 0.500 0.000 0.500

A relaxed Zr2CrPtW crystal, computed with PBE.

- calculated formation energy (eV/atom) = 0.68

Lattice parameters (Å, degrees): 4.779 4.779 4.373 90.00 90.00 90.00
Atoms (fractional coordinates):
Zr 0.000 0.500 0.000
Zr 0.500 0.000 0.000
Cr 0.000 0.000 0.000
Pt 0.500 0.500 0.500
W 0.000 0.000 0.500

A relaxed Sr2HfSn2 crystal, computed with PBE.

- calculated formation energy (eV/atom) = -0.31

Lattice parameters (Å, degrees): 7.809 7.809 5.180 90.00 90.00 90.00
Atoms (fractional coordinates):
Sr 0.172 0.328 0.000
Sr 0.328 0.828 0.000
Sr 0.672 0.172 0.000
Sr 0.828 0.672 0.000
Hf 0.000 0.000 0.500
Hf 0.500 0.500 0.500
Sn 0.136 0.636 0.500
Sn 0.364 0.136 0.500
Sn 0.636 0.864 0.500
Sn 0.864 0.364 0.500

A relaxed Dy2CoC crystal, computed with PBE.

- ΔE to the lowest computed polymorph (meV per atom) = 299.4
- calculated formation energy (eV/atom) = 0.03

Lattice parameters (Å, degrees): 7.151 7.151 7.151 28.81 28.81 28.81
Atoms (fractional coordinates):
Dy 0.234 0.234 0.234
Dy 0.766 0.766 0.766
Co 0.000 0.000 0.000
C 0.500 0.500 0.500

A relaxed ThCoSi3Os crystal, computed with PBE.

- raw formation energy (eV/f.u.) = -1.86

Lattice parameters (Å, degrees): 6.565 6.565 5.607 90.00 90.00 115.33
Atoms (fractional coordinates):
Th 0.243 0.757 0.750
Th 0.757 0.243 0.250
Co 0.045 0.955 0.250
Co 0.955 0.045 0.750
Si 0.232 0.768 0.250
Si 0.242 0.242 0.000
Si 0.242 0.242 0.500
Si 0.758 0.758 0.000
Si 0.758 0.758 0.500
Si 0.768 0.232 0.750
Os 0.433 0.567 0.250
Os 0.567 0.433 0.750

A relaxed Mg2AsCl crystal, computed with PBE.

- ΔE to the lowest computed polymorph (meV per atom) = 39.6
- raw formation energy (eV/f.u.) = -3.64

Lattice parameters (Å, degrees): 7.536 7.536 7.536 134.16 134.16 66.84
Atoms (fractional coordinates):
Mg 0.101 0.625 0.976
Mg 0.375 0.351 0.476
Mg 0.649 0.125 0.024
Mg 0.875 0.899 0.524
As 0.000 0.000 0.000
As 0.750 0.250 0.500
Cl 0.250 0.750 0.500
Cl 0.500 0.500 0.000

A relaxed InTc2Te crystal, computed with PBE.

- ΔE to the lowest computed polymorph (meV per atom) = 159.6
- raw formation energy (eV/f.u.) = 1.42

Lattice parameters (Å, degrees): 4.617 4.617 4.617 60.00 60.00 60.00
Atoms (fractional coordinates):
In 0.000 0.000 0.000
Tc 0.250 0.250 0.250
Tc 0.750 0.750 0.750
Te 0.500 0.500 0.500

Number 1: M_tot 0.102 μB per atom. Number 2: M_tot 0.111 μB per atom. Number 3: M_tot 0.000 μB per atom. Number 4: M_tot 0.000 μB per atom. Number 5: M_tot 0.234 μB per atom. Number 6: M_tot 0.000 μB per atom. Number 7: M_tot 0.000 μB per atom. Number 8: M_tot 0.000 μB per atom.